(1)
This record from Alexandria via LeMat-Bulk describes a relaxed structure of YOs6. The functional is GGA-PBE.

It has space group Im-3m (No. 229), with a = 6.797 Å, b = 6.797 Å, c = 6.797 Å, α = 90.00°, β = 90.00° and γ = 90.00°. The asymmetric unit holds Y at (0.000, 0.000, 0.000) and Os at (0.000, 0.250, 0.500).

For the density of states at the Fermi level, the calculation gives 13.71 states/eV/cell. Its formation enthalpy at 0 K is 794 meV per atom. As for the total moment: 0.0 μB/cell.

=====

(2)
This record from Alexandria via LeMat-Bulk describes a relaxed structure of TlGeBi2. The functional is GGA-PBE.

It has space group R-3m (No. 166, hexagonal axes), with a = 4.0710 Å, b = 4.0710 Å, c = 25.7363 Å, α = 90.00°, β = 90.00° and γ = 120.00°. The asymmetric unit holds Tl at (0.0000, 0.0000, 0.0000), Ge at (0.0000, 0.0000, 0.5000) and Bi at (0.0000, 0.0000, 0.2356).

For the density of states at the Fermi level, the calculation gives 6.68 states/eV/cell. Its formation enthalpy at 0 K is 162 meV per atom. As for the total moment: 0.0 μB/cell.

=====

(3)
This record from Alexandria via LeMat-Bulk describes a relaxed structure of Pu6TiRh5. The functional is GGA-PBE.

It has space group P-1 (No. 2), with a = 4.889 Å, b = 6.945 Å, c = 8.215 Å, α = 65.83°, β = 73.50° and γ = 88.78°. The asymmetric unit holds Pu at (0.017, 0.249, 0.473), Pu at (0.342, 0.557, 0.867), Pu at (0.364, 0.059, 0.841), Ti at (0.500, 0.500, 0.500), Rh at (0.103, 0.668, 0.208), Rh at (0.108, 0.141, 0.177) and Rh at (0.500, 0.000, 0.500).

For the density of states at the Fermi level, the calculation gives 45.50 states/eV/cell. Its formation enthalpy at 0 K is -287 meV per atom. As for the total moment: 9.7 μB/cell.

=====

(4)
This record from Alexandria via LeMat-Bulk describes a relaxed structure of Pr5Si2Hg2. The functional is GGA-PBE.

It has space group Cmce (No. 64), with a = 16.506 Å, b = 7.870 Å, c = 7.901 Å, α = 90.00°, β = 90.00° and γ = 90.00°. The asymmetric unit holds Pr at (0.000, 0.000, 0.000), Pr at (0.127, 0.186, 0.321), Si at (0.000, 0.111, 0.613) and Hg at (0.219, 0.000, 0.000).

The raw total energy is -4.4724 eV per atom. For the density of states at the Fermi level, the calculation gives 37.36 states/eV/cell. As for the total moment: 0.0 μB/cell.